[1]
The following is a PBE calculation of a geometry-optimized Np6Pa4N19 structure, from Alexandria.

Cell: 9.5180 9.5180 9.5180 Å, 90.00 90.00 90.00°
Space group I23 (No. 197)
One atom of each set of equivalent atoms:
Np: 0.0000 0.3225 0.5000 [12 per cell]
Pa: 0.1458 0.1458 0.8542 [8 per cell]
N: 0.0000 0.0000 0.0000 [2 per cell]
N: 0.0000 0.0000 0.3566 [12 per cell]
N: 0.0476 0.3083 0.7248 [24 per cell]

[2]
The following is a PBE calculation of a geometry-optimized Np3PaN6 structure, from Alexandria.

Output
Energy relative to the lowest polymorph listed for this composition   0.0000 eV/atom

Cell: 9.6922 9.6922 11.4494 Å, 90.00 90.00 120.00°
Space group R-3 (No. 148, hexagonal axes)
One atom of each set of equivalent atoms:
Np: 0.0361 0.7703 0.2124 [18 per cell]
Pa: 0.0000 0.0000 0.0000 [3 per cell]
Pa: 0.0000 0.0000 0.5000 [3 per cell]
N: 0.0297 0.8405 0.8682 [18 per cell]
N: 0.0364 0.8112 0.4073 [18 per cell]

[3]
The following is a PBE calculation of a geometry-optimized NpPa3N7 structure, from Alexandria.

Cell: 7.5852 10.7750 7.6064 Å, 90.00 90.00 90.00°
Space group Cmcm (No. 63)
One atom of each set of equivalent atoms:
Np: 0.0000 0.0000 0.0000 [4 per cell]
Pa: 0.0000 0.5000 0.0000 [4 per cell]
Pa: 0.2352 0.2388 0.2500 [8 per cell]
N: 0.0000 0.0927 0.2500 [4 per cell]
N: 0.0000 0.3658 0.2500 [4 per cell]
N: 0.0000 0.3716 0.7500 [4 per cell]
N: 0.2195 0.1244 0.5232 [16 per cell]

Short version: energy relative to the elements, uncorrected = -26.01 -11.96 -17.41 eV per formula unit, in the order given.
Short version: N(E_F) = 42.814 123.886 2.379 states/eV/cell, in the order given.
Short version: mass density = 10.1 11.0 11.0 g/cm3, in the order given.